1.
First-principles (GGA-PBE) data for a relaxed Pu2PaFeN4 crystal, as listed in the Alexandria database.

## Properties
**Formation energy without anion corrections**: -1110 meV/atom
**M_tot**: 7.0 μB/f.u.
**DFT total energy**: -11.101 eV/atom

Cell lengths 3.3479, 11.2483, 11.4751 Å; angles 90.00, 90.00, 90.00 degrees
With the nearest neighbours (Å) after each atom.
Space group Cmcm (No. 63)
Inequivalent atoms, fractional coordinates:
Pu1 0.0000 0.1318 0.0575 [8 per cell]  6 N 2.33-2.49
Pa1 0.0000 0.3893 0.2500 [4 per cell]  6 N 2.37-2.51
Fe1 0.0000 0.3495 0.7500 [4 per cell]  4 N 2.01-2.10
N1 0.0000 0.0384 0.2500 [4 per cell]  2 Fe 2.10
N2 0.0000 0.2213 0.6280 [8 per cell]  1 Fe 2.01
N3 0.0000 0.5000 0.0000 [4 per cell]  4 Pu 2.33



2.
First-principles (GGA-PBE) data for a relaxed InTe2As2Pd7 crystal, as listed in the Alexandria database.

## Properties
**Formation energy without anion corrections**: -395 meV/atom
**M_tot**: 0.0 μB/f.u.
**DFT total energy**: -4.951 eV/atom

Cell lengths 5.6404, 5.6383, 15.2329 Å; angles 90.00, 100.61, 90.00 degrees
With the nearest neighbours (Å) after each atom.
Space group C2/m (No. 12)
Inequivalent atoms, fractional coordinates:
In1 0.0000 0.0000 0.0000 [2 per cell]  12 Pd 2.82-2.90
Te1 0.2078 0.0000 0.4177 [4 per cell]  5 Pd 2.71-2.83
As1 0.1174 0.5000 0.2371 [4 per cell]  5 Pd 2.46
Pd1 0.0000 0.5000 0.0000 [2 per cell]  4 In 2.82, 8 Pd 2.90
Pd2 0.1805 0.2500 0.8594 [8 per cell]  2 As 2.46
Pd3 0.1995 0.5000 0.4014 [4 per cell]  1 As 2.46, 1 Te 2.71